Entry from Alexandria via LeMat-Bulk: a relaxed SbMoI2O crystal (PBE with a Hubbard U).

CIF file:
```
data_SbMoI2O
_chemical_formula_sum 'Sb1 Mo1 I2 O1'
_cell_length_a 6.163
_cell_length_b 6.163
_cell_length_c 4.109
_cell_angle_alpha 90.00
_cell_angle_beta 90.00
_cell_angle_gamma 90.00
_symmetry_space_group_name_H-M 'P 4/m m m'
_symmetry_Int_Tables_number 123
_symmetry_space_group_name_Hall '-P 4 2'
loop_
_atom_site_label
_atom_site_type_symbol
_atom_site_fract_x
_atom_site_fract_y
_atom_site_fract_z
_atom_site_occupancy
Sb1 Sb 0.000 0.000 0.000 1
Mo1 Mo 0.500 0.500 0.500 1
I1 I 0.000 0.500 0.000 1
O1 O 0.000 0.000 0.500 1
```

Summary:
volume: 156 Å³/cell
energy above the lowest structure with this stoichiometry: 211 meV/atom
final energy: -18.90 eV for the cell shown